(1)
Computed, not measured: a relaxed SmSc2Al2 crystal at the GGA-PBE level of DFT. Values from VASP.

energy of formation = -0.123 eV/atom
space group = P-3m1, No. 164
crystal system = trigonal
V = 24.9 Å³/atom
E_tot = -25.5 eV for the cell shown

Structure (Quantum ESPRESSO input):
```
&SYSTEM
  ibrav = 0, nat = 5, ntyp = 3
/
ATOMIC_SPECIES
Sm 150.36 Sm.upf
Sc 44.96 Sc.upf
Al 26.98 Al.upf
CELL_PARAMETERS angstrom
4.940 0.000 0.000
-2.470 4.278 0.000
0.000 0.000 5.895
ATOMIC_POSITIONS crystal
Sm 0.000 0.000 0.000
Sc 0.667 0.333 0.351
Sc 0.333 0.667 0.649
Al 0.333 0.667 0.170
Al 0.667 0.333 0.830
```


(2)
Computed, not measured: a relaxed KCuAgSb2 crystal at the GGA-PBE level of DFT. Values from VASP.

space group = I-4m2, No. 119
crystal system = tetragonal
V = 26.0 Å³/atom
E_tot = -17.0 eV for the cell shown

Structure (Quantum ESPRESSO input):
```
&SYSTEM
  ibrav = 0, nat = 5, ntyp = 4
/
ATOMIC_SPECIES
Cu 63.55 Cu.upf
K 39.10 K.upf
Sb 121.76 Sb.upf
Ag 107.87 Ag.upf
CELL_PARAMETERS angstrom
4.740 0.000 0.000
0.000 4.740 0.000
-2.370 -2.370 5.786
ATOMIC_POSITIONS crystal
Cu 0.250 0.750 0.500
K 0.000 0.000 0.000
Sb 0.373 0.373 0.747
Sb 0.627 0.627 0.253
Ag 0.750 0.250 0.500
```


(3)
Computed, not measured: a relaxed Pr2CoPd crystal at the GGA-PBE level of DFT. Values from VASP.

energy of formation = 0.182 eV/atom
space group = R-3m, No. 166
crystal system = trigonal
V = 26.5 Å³/atom
E_tot = -21.1 eV for the cell shown

Structure (Quantum ESPRESSO input):
```
&SYSTEM
  ibrav = 0, nat = 4, ntyp = 3
/
ATOMIC_SPECIES
Co 58.93 Co.upf
Pr 140.91 Pr.upf
Pd 106.42 Pd.upf
CELL_PARAMETERS angstrom
-0.071 3.134 -1.955
-2.989 2.170 0.096
2.433 6.214 6.381
ATOMIC_POSITIONS crystal
Co 0.500 0.500 0.500
Pr 0.898 0.898 0.307
Pr 0.102 0.102 0.693
Pd 0.000 0.000 0.000
```


(4)
Computed, not measured: a relaxed B2C crystal at the GGA-PBE level of DFT. Values from VASP.

energy of formation = 0.439 eV/atom
space group = Cm, No. 8
crystal system = monoclinic
ΔE to the lowest computed polymorph = 24.5 kJ per mole of atoms
V = 6.9 Å³/atom
E_tot = -85.0 eV for the cell shown

Structure (Quantum ESPRESSO input):
```
&SYSTEM
  ibrav = 0, nat = 12, ntyp = 2
/
ATOMIC_SPECIES
B 10.81 B.upf
C 12.01 C.upf
CELL_PARAMETERS angstrom
3.814 -1.338 2.036
4.130 1.120 1.474
0.575 1.806 8.224
ATOMIC_POSITIONS crystal
B 0.518 0.518 0.826
B 0.789 0.789 0.221
B 0.356 0.356 0.341
B 0.551 0.551 0.381
B 0.305 0.305 0.877
B 0.860 0.860 0.684
B 0.611 0.611 0.159
B 0.957 0.957 0.015
C 0.689 0.689 0.654
C 0.131 0.131 0.038
C 0.197 0.197 0.542
C 0.035 0.035 0.512
```


(5)
Computed, not measured: a relaxed PuSbPd4 crystal at the GGA-PBE level of DFT. Values from VASP.

space group = F-43m, No. 216
crystal system = cubic
ΔE to the lowest computed polymorph = 0.8 kJ per mole of atoms
V = 18.6 Å³/atom
E_tot = -41.7 eV for the cell shown

Structure (Quantum ESPRESSO input):
```
&SYSTEM
  ibrav = 0, nat = 6, ntyp = 3
/
ATOMIC_SPECIES
Pd 106.42 Pd.upf
Sb 121.76 Sb.upf
Pu 244.00 Pu.upf
CELL_PARAMETERS angstrom
-2.252 2.941 -3.941
1.526 -0.740 -5.136
-3.383 -2.331 -3.517
ATOMIC_POSITIONS crystal
Pd 0.126 0.625 0.625
Pd 0.625 0.625 0.126
Pd 0.625 0.625 0.625
Pd 0.625 0.126 0.625
Sb 0.000 0.000 0.000
Pu 0.250 0.250 0.250
```


(6)
Computed, not measured: a relaxed Ce3NpGa12 crystal at the GGA-PBE level of DFT. Values from VASP.

energy of formation = -0.373 eV/atom
space group = P4/mmm, No. 123
crystal system = tetragonal
V = 20.1 Å³/atom
E_tot = -73.0 eV for the cell shown

Structure (Quantum ESPRESSO input):
```
&SYSTEM
  ibrav = 0, nat = 16, ntyp = 3
/
ATOMIC_SPECIES
Ga 69.72 Ga.upf
Np 237.00 Np.upf
Ce 140.12 Ce.upf
CELL_PARAMETERS angstrom
-0.875 1.231 -4.039
-4.221 -0.137 0.873
0.484 16.567 4.946
ATOMIC_POSITIONS crystal
Ga 0.500 0.500 0.248
Ga 0.500 0.500 0.500
Ga 0.000 0.500 0.882
Ga 0.000 0.500 0.627
Ga 0.500 0.000 0.882
Ga 0.500 0.000 0.627
Ga 0.000 0.500 0.118
Ga 0.500 0.000 0.118
Ga 0.500 0.500 0.752
Ga 0.500 0.000 0.373
Ga 0.500 0.500 0.000
Ga 0.000 0.500 0.373
Np 0.000 0.000 0.000
Ce 0.000 0.000 0.246
Ce 0.000 0.000 0.754
Ce 0.000 0.000 0.500
```


(7)
Computed, not measured: a relaxed Ba6Sb2SeN crystal at the GGA-PBE level of DFT. Values from VASP.

space group = P2_1/c, No. 14
crystal system = monoclinic
V = 39.5 Å³/atom
E_tot = -83.5 eV for the cell shown

Structure (Quantum ESPRESSO input):
```
&SYSTEM
  ibrav = 0, nat = 20, ntyp = 4
/
ATOMIC_SPECIES
Ba 137.33 Ba.upf
Sb 121.76 Sb.upf
Se 78.96 Se.upf
N 14.01 N.upf
CELL_PARAMETERS angstrom
-7.451 -1.518 1.787
2.313 -7.998 2.848
1.674 4.239 10.544
ATOMIC_POSITIONS crystal
Ba 0.332 0.713 0.446
Ba 0.204 0.174 0.447
Ba 0.704 0.326 0.947
Ba 0.395 0.965 0.730
Ba 0.605 0.035 0.270
Ba 0.668 0.287 0.554
Ba 0.895 0.535 0.230
Ba 0.796 0.826 0.553
Ba 0.168 0.213 0.054
Ba 0.832 0.787 0.946
Ba 0.105 0.465 0.770
Ba 0.296 0.674 0.053
Sb 0.961 0.088 0.752
Sb 0.039 0.912 0.248
Sb 0.461 0.412 0.252
Sb 0.539 0.588 0.748
Se 0.500 0.000 0.000
Se 0.000 0.500 0.500
N 0.500 0.000 0.500
N 0.000 0.500 0.000
```


(8)
Computed, not measured: a relaxed SrReTeN2 crystal at the GGA-PBE level of DFT. Values from VASP.

space group = P4/mmm, No. 123
crystal system = tetragonal
V = 19.1 Å³/atom
E_tot = -33.3 eV for the cell shown

Structure (Quantum ESPRESSO input):
```
&SYSTEM
  ibrav = 0, nat = 5, ntyp = 4
/
ATOMIC_SPECIES
N 14.01 N.upf
Re 186.21 Re.upf
Te 127.60 Te.upf
Sr 87.62 Sr.upf
CELL_PARAMETERS angstrom
4.101 0.000 0.000
0.000 4.101 0.000
0.000 0.000 5.670
ATOMIC_POSITIONS crystal
N 0.000 0.500 0.000
N 0.500 0.000 0.000
Re 0.000 0.000 0.000
Te 0.000 0.000 0.500
Sr 0.500 0.500 0.500
```


Q: Among the records above, which one has the lowest E_tot?
A: B2C